Run w
Entry from the Alexandria database: crystalline YPuU at its relaxed geometry (PBE).

The value obtained for the magnetization is 7.9 μB per cell. As for the density of states at the Fermi level: 13.9 states/eV/cell.

The structure in CIF format:
```
data_YPuU
_cell_length_a 3.4967
_cell_length_b 3.4967
_cell_length_c 12.1428
_cell_angle_alpha 90.00
_cell_angle_beta 90.00
_cell_angle_gamma 90.00
_symmetry_space_group_name_H-M 'I 4 m m'
_symmetry_Int_Tables_number 107
_symmetry_space_group_name_Hall 'I 4 -2'
loop_
_atom_site_label
_atom_site_type_symbol
_atom_site_fract_x
_atom_site_fract_y
_atom_site_fract_z
Y1 Y 0.0000 0.0000 0.0000
Pu1 Pu 0.0000 0.0000 0.2909
U1 U 0.0000 0.0000 0.7162
```

---

Run x
Entry from the Alexandria database: crystalline YPuU at its relaxed geometry (PBE).

The value obtained for the magnetization is 11.0 μB per cell. As for the density of states at the Fermi level: 29.8 states/eV/cell.

The structure in CIF format:
```
data_YPuU
_cell_length_a 3.4776
_cell_length_b 3.4776
_cell_length_c 25.0155
_cell_angle_alpha 90.00
_cell_angle_beta 90.00
_cell_angle_gamma 90.00
_symmetry_space_group_name_H-M 'I 4/m m m'
_symmetry_Int_Tables_number 139
_symmetry_space_group_name_Hall '-I 4 2'
loop_
_atom_site_label
_atom_site_type_symbol
_atom_site_fract_x
_atom_site_fract_y
_atom_site_fract_z
Y1 Y 0.0000 0.0000 0.0703
Pu1 Pu 0.0000 0.0000 0.3322
U1 U 0.0000 0.0000 0.2060
```

---

run w is preferred energetically. Next in line: 33 meV/atom higher.

---

Run w
Entry from the Alexandria database: crystalline PuV3 at its relaxed geometry (PBE).

The value obtained for the magnetization is 3.4 μB per cell. As for the density of states at the Fermi level: 7.3 states/eV/cell.

The structure in CIF format:
```
data_PuV3
_cell_length_a 4.4557
_cell_length_b 4.4557
_cell_length_c 3.0646
_cell_angle_alpha 90.00
_cell_angle_beta 90.00
_cell_angle_gamma 90.00
_symmetry_space_group_name_H-M 'P 4/m m m'
_symmetry_Int_Tables_number 123
_symmetry_space_group_name_Hall '-P 4 2'
loop_
_atom_site_label
_atom_site_type_symbol
_atom_site_fract_x
_atom_site_fract_y
_atom_site_fract_z
Pu1 Pu 0.0000 0.0000 0.0000
V1 V 0.0000 0.5000 0.5000
V2 V 0.5000 0.5000 0.0000
```

---

Run x
Entry from the Alexandria database: crystalline PuV3 at its relaxed geometry (PBE).

The value obtained for the magnetization is 13.0 μB per cell. As for the density of states at the Fermi level: 30.0 states/eV/cell.

The structure in CIF format:
```
data_PuV3
_cell_length_a 6.2403
_cell_length_b 6.2403
_cell_length_c 6.2403
_cell_angle_alpha 90.00
_cell_angle_beta 90.00
_cell_angle_gamma 90.00
_symmetry_space_group_name_H-M 'F m -3 m'
_symmetry_Int_Tables_number 225
_symmetry_space_group_name_Hall '-F 4 2 3'
loop_
_atom_site_label
_atom_site_type_symbol
_atom_site_fract_x
_atom_site_fract_y
_atom_site_fract_z
Pu1 Pu 0.0000 0.0000 0.0000
V1 V 0.0000 0.0000 0.5000
V2 V 0.2500 0.2500 0.2500
```

---

Run y
Entry from the Alexandria database: crystalline PuV3 at its relaxed geometry (PBE).

The value obtained for the magnetization is 1.7 μB per cell. As for the density of states at the Fermi level: 9.4 states/eV/cell.

The structure in CIF format:
```
data_PuV3
_cell_length_a 2.4611
_cell_length_b 9.1388
_cell_length_c 5.0846
_cell_angle_alpha 90.00
_cell_angle_beta 90.00
_cell_angle_gamma 90.00
_symmetry_space_group_name_H-M 'I m m 2'
_symmetry_Int_Tables_number 44
loop_
_symmetry_equiv_pos_as_xyz
'x,y,z'
'-x,-y,z'
'-x,y,z'
'x,-y,z'
'x+1/2,y+1/2,z+1/2'
'-x+1/2,-y+1/2,z+1/2'
'-x+1/2,y+1/2,z+1/2'
'x+1/2,-y+1/2,z+1/2'
loop_
_atom_site_label
_atom_site_type_symbol
_atom_site_fract_x
_atom_site_fract_y
_atom_site_fract_z
Pu1 Pu 0.0000 0.0000 0.0000
V1 V 0.0000 0.2311 0.2349
V2 V 0.0000 0.5000 0.0212
```

---

run x is preferred energetically. Next in line: 68 meV/atom higher.

---

Run w
Entry from the Alexandria database: crystalline PuV2W at its relaxed geometry (PBE).

The value obtained for the magnetization is 14.9 μB per cell. As for the density of states at the Fermi level: 28.0 states/eV/cell.

The structure in CIF format:
```
data_PuV2W
_cell_length_a 6.3564
_cell_length_b 6.3564
_cell_length_c 6.3564
_cell_angle_alpha 90.00
_cell_angle_beta 90.00
_cell_angle_gamma 90.00
_symmetry_space_group_name_H-M 'F m -3 m'
_symmetry_Int_Tables_number 225
_symmetry_space_group_name_Hall '-F 4 2 3'
loop_
_atom_site_label
_atom_site_type_symbol
_atom_site_fract_x
_atom_site_fract_y
_atom_site_fract_z
Pu1 Pu 0.0000 0.0000 0.0000
V1 V 0.2500 0.2500 0.2500
W1 W 0.0000 0.0000 0.5000
```

---

Run x
Entry from the Alexandria database: crystalline PuV2W at its relaxed geometry (PBE).

The value obtained for the magnetization is 12.2 μB per cell. As for the density of states at the Fermi level: 25.0 states/eV/cell.

The structure in CIF format:
```
data_PuV2W
_cell_length_a 2.9870
_cell_length_b 2.9870
_cell_length_c 25.9961
_cell_angle_alpha 90.00
_cell_angle_beta 90.00
_cell_angle_gamma 120.00
_symmetry_space_group_name_H-M 'R -3 m'
_symmetry_Int_Tables_number 166
_symmetry_space_group_name_Hall '-R 3 2"'
loop_
_atom_site_label
_atom_site_type_symbol
_atom_site_fract_x
_atom_site_fract_y
_atom_site_fract_z
Pu1 Pu 0.0000 0.0000 0.0000
V1 V 0.0000 0.0000 0.2421
W1 W 0.0000 0.0000 0.5000
```

---

run w is preferred energetically. Next in line: 156 meV/atom higher.

---

Run w
Entry from the Alexandria database: crystalline Pu2VZn at its relaxed geometry (PBE).

The value obtained for the magnetization is 8.6 μB per cell. As for the density of states at the Fermi level: 9.2 states/eV/cell.

The structure in CIF format:
```
data_Pu2VZn
_cell_length_a 4.1646
_cell_length_b 4.1646
_cell_length_c 4.4654
_cell_angle_alpha 90.00
_cell_angle_beta 90.00
_cell_angle_gamma 90.00
_symmetry_space_group_name_H-M 'P 4/m m m'
_symmetry_Int_Tables_number 123
_symmetry_space_group_name_Hall '-P 4 2'
loop_
_atom_site_label
_atom_site_type_symbol
_atom_site_fract_x
_atom_site_fract_y
_atom_site_fract_z
Pu1 Pu 0.0000 0.5000 0.0000
V1 V 0.0000 0.0000 0.5000
Zn1 Zn 0.5000 0.5000 0.5000
```

---

Run x
Entry from the Alexandria database: crystalline Pu2VZn at its relaxed geometry (PBE).

The value obtained for the magnetization is 13.0 μB per cell. As for the density of states at the Fermi level: 22.2 states/eV/cell.

The structure in CIF format:
```
data_Pu2VZn
_cell_length_a 2.6455
_cell_length_b 2.6455
_cell_length_c 35.0182
_cell_angle_alpha 90.00
_cell_angle_beta 90.00
_cell_angle_gamma 120.00
_symmetry_space_group_name_H-M 'R -3 m'
_symmetry_Int_Tables_number 166
_symmetry_space_group_name_Hall '-R 3 2"'
loop_
_atom_site_label
_atom_site_type_symbol
_atom_site_fract_x
_atom_site_fract_y
_atom_site_fract_z
Pu1 Pu 0.0000 0.0000 0.0899
V1 V 0.0000 0.0000 0.5000
Zn1 Zn 0.0000 0.0000 0.0000
```

---

run w is preferred energetically. Next in line: 321 meV/atom higher.

---

Run w
Entry from the Alexandria database: crystalline YPuZn2 at its relaxed geometry (PBE).

The value obtained for the magnetization is 6.1 μB per cell. As for the density of states at the Fermi level: 6.9 states/eV/cell.

The structure in CIF format:
```
data_YPuZn2
_cell_length_a 5.0781
_cell_length_b 5.0781
_cell_length_c 3.5456
_cell_angle_alpha 90.00
_cell_angle_beta 90.00
_cell_angle_gamma 90.00
_symmetry_space_group_name_H-M 'P 4/m m m'
_symmetry_Int_Tables_number 123
_symmetry_space_group_name_Hall '-P 4 2'
loop_
_atom_site_label
_atom_site_type_symbol
_atom_site_fract_x
_atom_site_fract_y
_atom_site_fract_z
Y1 Y 0.0000 0.0000 0.0000
Pu1 Pu 0.5000 0.5000 0.0000
Zn1 Zn 0.0000 0.5000 0.5000
```

---

Run x
Entry from the Alexandria database: crystalline YPuZn2 at its relaxed geometry (PBE).

The value obtained for the magnetization is 24.9 μB per cell. As for the density of states at the Fermi level: 22.9 states/eV/cell.

The structure in CIF format:
```
data_YPuZn2
_cell_length_a 7.1517
_cell_length_b 7.1517
_cell_length_c 7.1517
_cell_angle_alpha 90.00
_cell_angle_beta 90.00
_cell_angle_gamma 90.00
_symmetry_space_group_name_H-M 'F m -3 m'
_symmetry_Int_Tables_number 225
_symmetry_space_group_name_Hall '-F 4 2 3'
loop_
_atom_site_label
_atom_site_type_symbol
_atom_site_fract_x
_atom_site_fract_y
_atom_site_fract_z
Y1 Y 0.0000 0.0000 0.0000
Pu1 Pu 0.0000 0.0000 0.5000
Zn1 Zn 0.2500 0.2500 0.2500
```

---

run w is preferred energetically. Next in line: 16 meV/atom higher.

---

Run w
Entry from the Alexandria database: crystalline PuZr2Zn at its relaxed geometry (PBE).

The value obtained for the magnetization is 5.1 μB per cell. As for the density of states at the Fermi level: 8.3 states/eV/cell.

The structure in CIF format:
```
data_PuZr2Zn
_cell_length_a 4.5497
_cell_length_b 4.5497
_cell_length_c 4.0691
_cell_angle_alpha 90.00
_cell_angle_beta 90.00
_cell_angle_gamma 90.00
_symmetry_space_group_name_H-M 'P 4/m m m'
_symmetry_Int_Tables_number 123
_symmetry_space_group_name_Hall '-P 4 2'
loop_
_atom_site_label
_atom_site_type_symbol
_atom_site_fract_x
_atom_site_fract_y
_atom_site_fract_z
Pu1 Pu 0.0000 0.0000 0.0000
Zr1 Zr 0.0000 0.5000 0.5000
Zn1 Zn 0.5000 0.5000 0.0000
```

---

Run x
Entry from the Alexandria database: crystalline PuZr2Zn at its relaxed geometry (PBE).

The value obtained for the magnetization is 25.7 μB per cell. As for the density of states at the Fermi level: 47.9 states/eV/cell.

The structure in CIF format:
```
data_PuZr2Zn
_cell_length_a 6.9781
_cell_length_b 6.9781
_cell_length_c 6.9781
_cell_angle_alpha 90.00
_cell_angle_beta 90.00
_cell_angle_gamma 90.00
_symmetry_space_group_name_H-M 'F m -3 m'
_symmetry_Int_Tables_number 225
_symmetry_space_group_name_Hall '-F 4 2 3'
loop_
_atom_site_label
_atom_site_type_symbol
_atom_site_fract_x
_atom_site_fract_y
_atom_site_fract_z
Pu1 Pu 0.0000 0.0000 0.0000
Zr1 Zr 0.2500 0.2500 0.2500
Zn1 Zn 0.0000 0.0000 0.5000
```

---

run w is preferred energetically. Next in line: 121 meV/atom higher.